Model one:
A plane-wave DFT calculation with PBE-GGA was carried out for an optimized crystal structure of ZrCoSe2N.

Unit cell a=4.911 b=4.911 c=3.435 alpha=90.00 beta=90.00 gamma=90.00
Fractional positions:
Co 0.000 0.000 0.000
Se 0.000 0.500 0.000
Se 0.500 0.000 0.000
Zr 0.500 0.500 0.500
N 0.000 0.000 0.500

Values from the calculation:
M_tot	0.0	μB per formula unit
SG	No. 123
N(E_F)	4.63	states/eV/f.u.


Model two:
A plane-wave DFT calculation with PBE-GGA was carried out for an optimized crystal structure of ZrCoSe2N.

Unit cell a=5.310 b=5.310 c=4.056 alpha=90.00 beta=90.00 gamma=90.00
Each line ends with the local moment (μB).
Fractional positions:
Zr 0.000 0.000 0.000  -0.04
Co 0.500 0.500 0.500  2.32
Se 0.000 0.500 0.000  0.20
Se 0.500 0.000 0.000  0.20
N 0.000 0.000 0.500  0.49

Values from the calculation:
M_tot	3.7	μB per formula unit
SG	No. 123
N(E_F)	4.44	states/eV/f.u.


Most stable: model one. Least stable: model two.


Model one:
A plane-wave DFT calculation with PBE-GGA was carried out for an optimized crystal structure of CoSiTeN2.

Unit cell a=3.488 b=3.488 c=6.987 alpha=90.00 beta=90.00 gamma=90.00
Each line ends with the local moment (μB).
Fractional positions:
N 0.000 0.500 0.000  0.05
N 0.500 0.000 0.000  0.05
Si 0.000 0.000 0.000  0.00
Te 0.000 0.000 0.500  0.08
Co 0.500 0.500 0.500  1.45

Values from the calculation:
M_tot	1.8	μB per formula unit
SG	No. 123
N(E_F)	5.02	states/eV/f.u.


Model two:
A plane-wave DFT calculation with PBE-GGA was carried out for an optimized crystal structure of CoSiTeN2.

Unit cell a=3.746 b=3.746 c=5.281 alpha=90.00 beta=90.00 gamma=90.00
Each line ends with the local moment (μB).
Fractional positions:
Co 0.000 0.000 0.000  0.34
Si 0.500 0.500 0.500  -0.01
Te 0.000 0.000 0.500  0.01
N 0.000 0.500 0.000  0.30
N 0.500 0.000 0.000  0.30

Values from the calculation:
M_tot	1.1	μB per formula unit
SG	No. 123
N(E_F)	4.24	states/eV/f.u.


Most stable: model one. Least stable: model two.


Model one:
A plane-wave DFT calculation with PBE-GGA was carried out for an optimized crystal structure of CoSn3N.

Unit cell a=4.775 b=4.775 c=4.775 alpha=90.00 beta=90.00 gamma=90.00
Fractional positions:
Sn 0.000 0.000 0.500
Sn 0.500 0.000 0.000
Sn 0.000 0.500 0.000
Co 0.000 0.000 0.000
N 0.500 0.500 0.500

Values from the calculation:
M_tot	0.0	μB per formula unit
SG	No. 221
N(E_F)	0.95	states/eV/f.u.


Model two:
A plane-wave DFT calculation with PBE-GGA was carried out for an optimized crystal structure of CoSn3N.

Unit cell a=4.639 b=4.639 c=4.639 alpha=90.00 beta=90.00 gamma=90.00
Each line ends with the local moment (μB).
Fractional positions:
N 0.000 0.000 0.000  -0.12
Co 0.500 0.500 0.500  1.44
Sn 0.000 0.500 0.000  -0.06
Sn 0.000 0.000 0.500  -0.02
Sn 0.500 0.000 0.000  -0.07

Values from the calculation:
M_tot	0.9	μB per formula unit
SG	No. 221
N(E_F)	6.08	states/eV/f.u.


Most stable: model two. Least stable: model one.


Model one:
A plane-wave DFT calculation with PBE-GGA was carried out for an optimized crystal structure of SrCo3N.

Unit cell a=4.040 b=4.040 c=4.040 alpha=90.00 beta=90.00 gamma=90.00
Each line ends with the local moment (μB).
Fractional positions:
Sr 0.500 0.500 0.500  -0.11
Co 0.000 0.000 0.500  1.17
Co 0.000 0.500 0.000  1.33
Co 0.500 0.000 0.000  1.52
N 0.000 0.000 0.000  0.12

Values from the calculation:
M_tot	3.8	μB per formula unit
SG	No. 221
N(E_F)	3.90	states/eV/f.u.


Model two:
A plane-wave DFT calculation with PBE-GGA was carried out for an optimized crystal structure of SrCo3N.

Unit cell a=4.802 b=4.802 c=4.802 alpha=90.00 beta=90.00 gamma=90.00
Each line ends with the local moment (μB).
Fractional positions:
Co 0.000 0.500 0.000  1.56
Co 0.500 0.000 0.000  1.69
Co 0.000 0.000 0.500  1.36
Sr 0.000 0.000 0.000  -0.20
N 0.500 0.500 0.500  1.30

Values from the calculation:
M_tot	5.9	μB per formula unit
SG	No. 221
N(E_F)	5.08	states/eV/f.u.


Most stable: model one. Least stable: model two.


Model one:
A plane-wave DFT calculation with PBE-GGA was carried out for an optimized crystal structure of SrCoN2.

Unit cell a=6.158 b=6.158 c=6.158 alpha=37.70 beta=37.70 gamma=37.70
Fractional positions:
N 0.904 0.904 0.904
N 0.096 0.096 0.096
Co 0.000 0.000 0.000
Sr 0.500 0.500 0.500

Values from the calculation:
M_tot	0.0	μB per formula unit
SG	No. 166
N(E_F)	2.60	states/eV/f.u.


Model two:
A plane-wave DFT calculation with PBE-GGA was carried out for an optimized crystal structure of SrCoN2.

Unit cell a=6.053 b=8.029 c=5.341 alpha=90.00 beta=117.05 gamma=90.00
Fractional positions:
Co 0.083 0.133 0.101
Co 0.083 0.367 0.601
Co 0.917 0.633 0.399
Co 0.917 0.867 0.899
N 0.248 0.934 0.107
N 0.248 0.566 0.607
N 0.752 0.434 0.393
N 0.857 0.691 0.053
N 0.143 0.191 0.447
N 0.857 0.809 0.553
N 0.143 0.309 0.947
N 0.752 0.066 0.893
Sr 0.675 0.096 0.340
Sr 0.325 0.596 0.160
Sr 0.675 0.404 0.840
Sr 0.325 0.904 0.660

Values from the calculation:
M_tot	0.0	μB per formula unit
SG	No. 14
N(E_F)	1.27	states/eV/f.u.


Model three:
A plane-wave DFT calculation with PBE-GGA was carried out for an optimized crystal structure of SrCoN2.

Unit cell a=5.703 b=5.703 c=5.211 alpha=56.83 beta=56.83 gamma=90.00
Fractional positions:
N 0.509 0.125 0.250
N 0.241 0.625 0.250
N 0.375 0.491 0.750
N 0.875 0.759 0.750
Co 0.500 0.500 0.000
Co 0.250 0.750 0.500
Sr 0.000 0.000 0.000
Sr 0.750 0.250 0.500

Values from the calculation:
M_tot	0.0	μB per formula unit
SG	No. 122
N(E_F)	3.00	states/eV/f.u.


Most stable: model two. Least stable: model one.


Model one:
A plane-wave DFT calculation with PBE-GGA was carried out for an optimized crystal structure of SrCoTe2N.

Unit cell a=6.209 b=6.209 c=4.262 alpha=90.00 beta=90.00 gamma=90.00
Each line ends with the local moment (μB).
Fractional positions:
Sr 0.000 0.000 0.000  0.00
Te 0.500 0.000 0.000  -0.04
Te 0.000 0.500 0.000  -0.04
N 0.000 0.000 0.500  0.02
Co 0.500 0.500 0.500  2.24

Values from the calculation:
M_tot	2.2	μB per formula unit
SG	No. 123
N(E_F)	12.59	states/eV/f.u.


Model two:
A plane-wave DFT calculation with PBE-GGA was carried out for an optimized crystal structure of SrCoTe2N.

Unit cell a=5.634 b=5.634 c=3.520 alpha=90.00 beta=90.00 gamma=90.00
Fractional positions:
N 0.000 0.000 0.500
Te 0.000 0.500 0.000
Te 0.500 0.000 0.000
Co 0.000 0.000 0.000
Sr 0.500 0.500 0.500

Values from the calculation:
M_tot	0.0	μB per formula unit
SG	No. 123
N(E_F)	4.54	states/eV/f.u.


Most stable: model two. Least stable: model one.


Model one:
A plane-wave DFT calculation with PBE-GGA was carried out for an optimized crystal structure of SrCoTeN2.

Unit cell a=4.721 b=4.721 c=6.779 alpha=90.00 beta=90.00 gamma=90.00
Each line ends with the local moment (μB).
Fractional positions:
N 0.000 0.500 0.000  1.38
N 0.500 0.000 0.000  1.38
Sr 0.000 0.000 0.000  0.07
Co 0.500 0.500 0.500  2.30
Te 0.000 0.000 0.500  0.15

Values from the calculation:
M_tot	7.0	μB per formula unit
SG	No. 123
N(E_F)	6.58	states/eV/f.u.


Model two:
A plane-wave DFT calculation with PBE-GGA was carried out for an optimized crystal structure of SrCoTeN2.

Unit cell a=4.172 b=4.172 c=5.255 alpha=90.00 beta=90.00 gamma=90.00
Each line ends with the local moment (μB).
Fractional positions:
N 0.500 0.000 0.000  0.83
N 0.000 0.500 0.000  0.83
Sr 0.500 0.500 0.500  0.01
Te 0.000 0.000 0.500  0.05
Co 0.000 0.000 0.000  1.28

Values from the calculation:
M_tot	3.8	μB per formula unit
SG	No. 123
N(E_F)	2.75	states/eV/f.u.


Most stable: model two. Least stable: model one.


Model one:
A plane-wave DFT calculation with PBE-GGA was carried out for an optimized crystal structure of TaCoTeN2.

Unit cell a=3.855 b=3.855 c=4.880 alpha=90.00 beta=90.00 gamma=90.00
Each line ends with the local moment (μB).
Fractional positions:
Ta 0.500 0.500 0.500  -0.75
Co 0.000 0.000 0.000  0.20
Te 0.000 0.000 0.500  0.01
N 0.000 0.500 0.000  0.29
N 0.500 0.000 0.000  0.29

Values from the calculation:
M_tot	0.0	μB per formula unit
SG	No. 123
N(E_F)	5.62	states/eV/f.u.


Model two:
A plane-wave DFT calculation with PBE-GGA was carried out for an optimized crystal structure of TaCoTeN2.

Unit cell a=3.964 b=3.964 c=5.939 alpha=90.00 beta=90.00 gamma=90.00
Each line ends with the local moment (μB).
Fractional positions:
N 0.000 0.500 0.000  0.21
N 0.500 0.000 0.000  0.21
Te 0.000 0.000 0.500  0.01
Ta 0.000 0.000 0.000  -0.03
Co 0.500 0.500 0.500  1.94

Values from the calculation:
M_tot	2.6	μB per formula unit
SG	No. 123
N(E_F)	7.86	states/eV/f.u.


Most stable: model two. Least stable: model one.


Model one:
A plane-wave DFT calculation with PBE-GGA was carried out for an optimized crystal structure of TaCoTe2N.

Unit cell a=5.534 b=5.534 c=3.871 alpha=90.00 beta=90.00 gamma=90.00
Each line ends with the local moment (μB).
Fractional positions:
Te 0.500 0.000 0.000  0.03
Te 0.000 0.500 0.000  0.03
N 0.000 0.000 0.500  -0.02
Ta 0.000 0.000 0.000  0.06
Co 0.500 0.500 0.500  2.19

Values from the calculation:
M_tot	2.4	μB per formula unit
SG	No. 123
N(E_F)	5.65	states/eV/f.u.


Model two:
A plane-wave DFT calculation with PBE-GGA was carried out for an optimized crystal structure of TaCoTe2N.

Unit cell a=5.206 b=5.206 c=3.401 alpha=90.00 beta=90.00 gamma=90.00
Each line ends with the local moment (μB).
Fractional positions:
Ta 0.500 0.500 0.500  0.81
N 0.000 0.000 0.500  0.04
Te 0.500 0.000 0.000  -0.02
Te 0.000 0.500 0.000  -0.02
Co 0.000 0.000 0.000  0.07

Values from the calculation:
M_tot	1.3	μB per formula unit
SG	No. 123
N(E_F)	4.08	states/eV/f.u.


Most stable: model two. Least stable: model one.


Model one:
A plane-wave DFT calculation with PBE-GGA was carried out for an optimized crystal structure of CoTcN2.

Unit cell a=6.429 b=6.429 c=6.429 alpha=25.05 beta=25.05 gamma=25.05
Each line ends with the local moment (μB).
Fractional positions:
N 0.096 0.096 0.096  0.00
N 0.904 0.904 0.904  0.00
Tc 0.500 0.500 0.500  -0.08
Co 0.000 0.000 0.000  1.04

Values from the calculation:
M_tot	1.0	μB per formula unit
SG	No. 166
N(E_F)	2.74	states/eV/f.u.


Model two:
A plane-wave DFT calculation with PBE-GGA was carried out for an optimized crystal structure of CoTcN2.

Unit cell a=2.802 b=2.802 c=6.032 alpha=76.57 beta=76.57 gamma=60.00
Fractional positions:
Tc 0.668 0.668 0.995
N 0.072 0.072 0.783
N 0.238 0.238 0.286
Co 0.521 0.521 0.436

Values from the calculation:
M_tot	0.0	μB per formula unit
SG	No. 160
N(E_F)	2.66	states/eV/f.u.


Most stable: model one. Least stable: model two.


Model one:
A plane-wave DFT calculation with PBE-GGA was carried out for an optimized crystal structure of CoTcN2.

Unit cell a=4.432 b=4.432 c=5.423 alpha=65.88 beta=65.88 gamma=90.00
Fractional positions:
Co 0.250 0.750 0.500
Co 0.500 0.500 0.000
Tc 0.000 0.000 0.000
Tc 0.750 0.250 0.500
N 0.611 0.125 0.250
N 0.375 0.389 0.750
N 0.875 0.861 0.750
N 0.139 0.625 0.250

Values from the calculation:
M_tot	0.0	μB per formula unit
SG	No. 122
N(E_F)	3.21	states/eV/f.u.


Model two:
A plane-wave DFT calculation with PBE-GGA was carried out for an optimized crystal structure of CoTcN2.

Unit cell a=3.663 b=3.663 c=3.663 alpha=60.00 beta=60.00 gamma=60.00
Fractional positions:
N 0.750 0.750 0.750
N 0.250 0.250 0.250
Tc 0.500 0.500 0.500
Co 0.000 0.000 0.000

Values from the calculation:
M_tot	0.0	μB per formula unit
SG	No. 225
N(E_F)	3.91	states/eV/f.u.


Most stable: model one. Least stable: model two.


Model one:
A plane-wave DFT calculation with PBE-GGA was carried out for an optimized crystal structure of Co3TcN.

Unit cell a=4.417 b=4.417 c=4.417 alpha=90.00 beta=90.00 gamma=90.00
Each line ends with the local moment (μB).
Fractional positions:
Co 0.000 0.000 0.500  1.08
Co 0.500 0.000 0.000  0.71
Co 0.000 0.500 0.000  0.98
N 0.500 0.500 0.500  1.28
Tc 0.000 0.000 0.000  0.03

Values from the calculation:
M_tot	4.5	μB per formula unit
SG	No. 221
N(E_F)	6.29	states/eV/f.u.


Model two:
A plane-wave DFT calculation with PBE-GGA was carried out for an optimized crystal structure of Co3TcN.

Unit cell a=3.791 b=3.791 c=3.791 alpha=90.00 beta=90.00 gamma=90.00
Each line ends with the local moment (μB).
Fractional positions:
Co 0.500 0.000 0.000  1.61
Co 0.000 0.000 0.500  1.22
Co 0.000 0.500 0.000  1.25
Tc 0.500 0.500 0.500  1.56
N 0.000 0.000 0.000  0.11

Values from the calculation:
M_tot	5.9	μB per formula unit
SG	No. 221
N(E_F)	5.51	states/eV/f.u.


Most stable: model two. Least stable: model one.